DFT (GGA+U) results for a relaxed K5Na3Nb4W4O24 crystal.

a b c (Å): 8.039 8.039 8.037
angles (deg): 90.04 90.04 90.08
Fractional positions:
1 K 0.000 0.000 0.000
2 K 0.001 0.001 0.499
3 K 0.002 0.500 0.000
4 K 0.500 0.002 0.000
5 K 0.500 0.500 0.001
6 Na 0.004 0.497 0.498
7 Na 0.497 0.004 0.498
8 Na 0.497 0.497 0.499
9 Nb 0.251 0.251 0.251
10 Nb 0.251 0.251 0.748
11 Nb 0.252 0.750 0.748
12 Nb 0.750 0.252 0.748
13 W 0.251 0.750 0.251
14 W 0.750 0.251 0.251
15 W 0.750 0.750 0.252
16 W 0.750 0.750 0.748
17 O 0.250 0.751 0.000
18 O 0.251 0.251 0.498
19 O 0.251 0.501 0.746
20 O 0.251 0.503 0.257
21 O 0.252 0.252 0.002
22 O 0.252 0.997 0.250
23 O 0.252 0.999 0.746
24 O 0.253 0.747 0.500
25 O 0.501 0.251 0.746
26 O 0.503 0.251 0.257
27 O 0.503 0.752 0.253
28 O 0.506 0.750 0.747
29 O 0.746 0.998 0.255
30 O 0.747 0.253 0.500
31 O 0.748 0.994 0.747
32 O 0.749 0.749 0.505
33 O 0.749 0.749 0.994
34 O 0.750 0.506 0.747
35 O 0.751 0.250 0.000
36 O 0.752 0.503 0.253
37 O 0.994 0.748 0.747
38 O 0.997 0.252 0.250
39 O 0.998 0.746 0.255
40 O 0.999 0.252 0.746

Properties
- Calculated volume: 12.98 A^3/atom
- Calculated total energy: -7.17 eV/atom
- DOS at the Fermi energy: 1.50 states/eV per cell